1.
VASP calculation (PBE-GGA) on an optimized crystal structure of Ba2ZnAg3.

Computed properties:
* magnetization: 0.00 μB/f.u.
* mass density: 6.09 Mg/m³
* Fermi-level density of states: 26.698 states/eV/cell
* formation enthalpy at 0 K: -0.266 eV per atom

Lattice parameters (Å, degrees): 8.9218 9.7151 16.7068 90.00 90.00 90.00
Space group Fmmm (No. 69)
Symmetry-distinct sites (fractional):
Ba 0.2470 0.0000 0.0000 (multiplicity 8)
Ba 0.2500 0.2500 0.2500 (multiplicity 8)
Zn 0.0000 0.0000 0.3340 (multiplicity 8)
Ag 0.0000 0.0000 0.1708 (multiplicity 8)
Ag 0.0000 0.2430 0.4143 (multiplicity 16)

2.
VASP calculation (PBE-GGA) on an optimized crystal structure of CeGaSe2.

Computed properties:
* magnetization: 0.86 μB/f.u.
* E_form (uncorrected): -1069 meV/atom
* mass density: 6.76 Mg/m³
* Fermi-level density of states: 5.846 states/eV/cell

Lattice parameters (Å, degrees): 4.8845 4.8845 3.7842 90.00 90.00 90.00
Space group P4/mmm (No. 123)
Symmetry-distinct sites (fractional):
Ce 0.0000 0.0000 0.0000 (multiplicity 1)
Ga 0.5000 0.5000 0.0000 (multiplicity 1)
Se 0.0000 0.5000 0.5000 (multiplicity 2)

3.
VASP calculation (PBE-GGA) on an optimized crystal structure of Ac6Ir2Au3N.

Computed properties:
* magnetization: 0.00 μB/f.u.
* E_form (uncorrected): -780 meV/atom
* mass density: 11.00 Mg/m³
* Fermi-level density of states: 12.166 states/eV/cell

Lattice parameters (Å, degrees): 7.4439 12.8041 7.8461 90.00 108.28 90.00
Space group C2/m (No. 12)
Symmetry-distinct sites (fractional):
Ac 0.2274 0.1572 0.2096 (multiplicity 8)
Ac 0.2460 0.0000 0.7827 (multiplicity 4)
Ir 0.0000 0.3343 0.0000 (multiplicity 4)
Au 0.0000 0.1739 0.5000 (multiplicity 4)
Au 0.0000 0.5000 0.5000 (multiplicity 2)
N 0.0000 0.0000 0.0000 (multiplicity 2)